PrSi2Au3 | PBE-GGA | optimized geometry

Results
The value obtained for the formation energy without anion corrections is -499 meV per atom.

a = 8.236 Å, b = 8.236 Å, c = 7.608 Å
α = 114.24°, β = 114.24°, γ = 30.42°
Element x y z (fractional)
Pr (0.151, 0.151, 0.073)
Pr (0.849, 0.849, 0.927)
Si (0.190, 0.190, 0.689)
Si (0.487, 0.487, 0.837)
Si (0.513, 0.513, 0.163)
Si (0.810, 0.810, 0.311)
Au (0.041, 0.041, 0.360)
Au (0.318, 0.318, 0.588)
Au (0.381, 0.381, 0.268)
Au (0.619, 0.619, 0.732)
Au (0.682, 0.682, 0.412)
Au (0.959, 0.959, 0.640)